Density functional theory data (GGA+U) for crystalline Cr3BiB4O12 at its relaxed geometry.

Lattice parameters (Å, degrees): 6.125 6.125 6.125 103.84 103.84 103.84
Positions (direct):
O: 0.788 0.033 0.628
O: 0.356 0.644 0.500
O: 0.500 0.089 0.911
O: 0.628 0.788 0.033
O: 0.911 0.500 0.089
O: 0.967 0.212 0.372
O: 0.033 0.628 0.788
O: 0.500 0.356 0.644
O: 0.372 0.967 0.212
O: 0.089 0.911 0.500
O: 0.644 0.500 0.356
O: 0.212 0.372 0.967
Cr: 0.000 0.555 0.445
Cr: 0.555 0.445 0.000
Cr: 0.445 0.000 0.555
B: 0.500 0.500 0.500
B: 0.500 0.945 0.055
B: 0.055 0.500 0.945
B: 0.945 0.055 0.500
Bi: 0.000 0.000 0.000

Calculated values
* density: 4.85 g cm⁻³
* energy: -155.13 eV per formula unit
* space-group type: No. 155
* calculated volume: 10.283 Å³ per atom